Compound: NiAs2Ir
Source: Alexandria via LeMat-Bulk
Functional: GGA-PBE
Structure: relaxed

Results
DFT total energy: -24.15 eV/cell
Formation energy: -0.05 eV/atom
Total magnetization: 0.00 μB/cell

Cell: 2.9655 2.9655 7.6579 Å, 90.00 90.00 90.00°
Fractional coordinates of all 4 atoms:
Ni  0.0000  0.0000  0.0000
As  0.0000  0.0000  0.5702
As  0.5000  0.5000  0.1589
Ir  0.5000  0.5000  0.7613

Compound: Ho10ErSc6
Source: Alexandria via LeMat-Bulk
Functional: GGA-PBE
Structure: relaxed

Results
DFT total energy: -86.01 eV/cell
Formation energy: 0.14 eV/atom
Total magnetization: 0.00 μB/cell

Cell: 9.3198 9.3198 6.5883 Å, 90.00 90.00 120.00°
Fractional coordinates of all 17 atoms:
Ho  0.0000  0.2809  0.3176
Ho  0.0000  0.7191  0.6824
Ho  0.2809  0.0000  0.3176
Ho  0.2809  0.2809  0.6824
Ho  0.3333  0.6667  0.0000
Ho  0.3333  0.6667  0.5000
Ho  0.6667  0.3333  0.0000
Ho  0.6667  0.3333  0.5000
Ho  0.7191  0.0000  0.6824
Ho  0.7191  0.7191  0.3176
Er  0.0000  0.0000  0.0000
Sc  0.0000  0.3694  0.8163
Sc  0.0000  0.6306  0.1837
Sc  0.3694  0.0000  0.8163
Sc  0.3694  0.3694  0.1837
Sc  0.6306  0.0000  0.1837
Sc  0.6306  0.6306  0.8163

Compound: LiZr2Os
Source: Alexandria via LeMat-Bulk
Functional: GGA-PBE
Structure: relaxed

Results
DFT total energy: -62.35 eV/cell
Formation energy: -0.23 eV/atom
Total magnetization: 0.00 μB/cell

Cell: 6.5803 6.5940 3.2978 Å, 90.00 90.00 90.00°
Fractional coordinates of all 8 atoms:
Li  0.0000  0.0000  0.0000
Li  0.5000  0.5000  0.0000
Zr  0.2500  0.2500  0.5000
Zr  0.2500  0.7500  0.5000
Zr  0.7500  0.2500  0.5000
Zr  0.7500  0.7500  0.5000
Os  0.0000  0.5000  0.0000
Os  0.5000  0.0000  0.0000

Compound: Pr2TiMo2N6
Source: Alexandria via LeMat-Bulk
Functional: GGA-PBE
Structure: relaxed

Results
DFT total energy: -96.15 eV/cell
Raw formation energy: -0.644 eV/atom
Total magnetization: 0.00 μB/cell

Cell: 6.4628 6.4628 6.4628 Å, 55.27 55.27 55.27°
Fractional coordinates of all 11 atoms:
Pr  0.1991  0.1991  0.1991
Pr  0.8009  0.8009  0.8009
Ti  0.0000  0.0000  0.0000
Mo  0.4259  0.4259  0.4259
Mo  0.5741  0.5741  0.5741
N  0.2312  0.7672  0.7672
N  0.2328  0.2328  0.7688
N  0.2328  0.7688  0.2328
N  0.7672  0.2312  0.7672
N  0.7672  0.7672  0.2312
N  0.7688  0.2328  0.2328

Compound: TaCr3Fe
Source: Alexandria via LeMat-Bulk
Functional: GGA-PBE
Structure: relaxed

Results
DFT total energy: -44.28 eV/cell
Formation energy: 0.98 eV/atom
Total magnetization: 0.00 μB/cell

Cell: 4.1747 4.1747 4.1747 Å, 90.00 90.00 90.00°
Fractional coordinates of all 5 atoms:
Ta  0.0000  0.0000  0.0000
Cr  0.0000  0.5000  0.5000
Cr  0.5000  0.0000  0.5000
Cr  0.5000  0.5000  0.0000
Fe  0.5000  0.5000  0.5000

Compound: LiAlAg
Source: Alexandria via LeMat-Bulk
Functional: GGA-PBE
Structure: relaxed

Results
DFT total energy: -8.75 eV/cell
Formation energy: -0.08 eV/atom
Total magnetization: 0.00 μB/cell

Cell: 2.8918 2.8918 6.9150 Å, 90.00 90.00 120.00°
Fractional coordinates of all 3 atoms:
Li  0.0000  0.0000  0.0000
Al  0.6667  0.3333  0.6617
Ag  0.3333  0.6667  0.3287

Compound: SrPAu
Source: Alexandria via LeMat-Bulk
Functional: GGA-PBE
Structure: relaxed

Results
DFT total energy: -17.80 eV/cell
Formation energy: 0.49 eV/atom
Total magnetization: 4.00 μB/cell

Cell: 5.3965 5.3965 12.1410 Å, 90.00 90.00 120.00°
Fractional coordinates of all 6 atoms:
Sr  0.0000  0.0000  0.2500
Sr  0.0000  0.0000  0.7500
P  0.0000  0.0000  0.0000
P  0.0000  0.0000  0.5000
Au  0.3333  0.6667  0.2500
Au  0.6667  0.3333  0.7500

Compound: TlNi2SnI
Source: Alexandria via LeMat-Bulk
Functional: GGA-PBE
Structure: relaxed

Results
DFT total energy: -15.44 eV/cell
Raw formation energy: 0.808 eV/atom
Total magnetization: 0.00 μB/cell

Cell: 4.6765 4.6765 6.4334 Å, 90.00 90.00 90.00°
Fractional coordinates of all 5 atoms:
Tl  0.0000  0.0000  0.0000
Ni  0.0000  0.5000  0.5000
Ni  0.5000  0.0000  0.5000
Sn  0.5000  0.5000  0.0000
I  0.0000  0.0000  0.5000

Compound: Pr2ThRh3
Source: Alexandria via LeMat-Bulk
Functional: GGA-PBE
Structure: relaxed

Results
DFT total energy: -85.91 eV/cell
Formation energy: -0.65 eV/atom
Total magnetization: 0.00 μB/cell

Cell: 7.1890 7.1890 8.1355 Å, 106.42 106.42 47.91°
Fractional coordinates of all 12 atoms:
Pr  0.1629  0.1712  0.0835
Pr  0.1712  0.1629  0.5835
Pr  0.8288  0.8371  0.4165
Pr  0.8371  0.8288  0.9165
Th  0.4982  0.5018  0.7500
Th  0.5018  0.4982  0.2500
Rh  0.0020  0.9980  0.2500
Rh  0.3393  0.3477  0.4216
Rh  0.3477  0.3393  0.9216
Rh  0.6523  0.6607  0.0784
Rh  0.6607  0.6523  0.5784
Rh  0.9980  0.0020  0.7500

Compound: AlAsOs
Source: Alexandria via LeMat-Bulk
Functional: GGA-PBE
Structure: relaxed

Results
DFT total energy: -38.69 eV/cell
Formation energy: 0.09 eV/atom
Total magnetization: 0.00 μB/cell

Cell: 3.0686 3.7148 7.9444 Å, 90.00 90.00 90.00°
Fractional coordinates of all 6 atoms:
Al  0.0000  0.0000  0.0000
Al  0.5000  0.5000  0.5000
As  0.0000  0.0000  0.6763
As  0.5000  0.5000  0.1763
Os  0.0000  0.0000  0.3414
Os  0.5000  0.5000  0.8414

Compound: Fe3Co2Ni8
Source: Alexandria via LeMat-Bulk
Functional: GGA-PBE
Structure: relaxed

Results
DFT total energy: -82.38 eV/cell
Formation energy: 0.27 eV/atom
Total magnetization: 16.94 μB/cell

Cell: 9.1767 9.1767 9.1767 Å, 28.68 28.68 28.68°
Fractional coordinates of all 13 atoms:
Fe  0.0000  0.0000  0.0000
Fe  0.1843  0.1843  0.1843
Fe  0.8157  0.8157  0.8157
Co  0.3602  0.3602  0.3602
Co  0.6398  0.6398  0.6398
Ni  0.2287  0.7316  0.7316
Ni  0.2684  0.2684  0.7713
Ni  0.2684  0.7713  0.2684
Ni  0.2750  0.2750  0.2750
Ni  0.7250  0.7250  0.7250
Ni  0.7316  0.2287  0.7316
Ni  0.7316  0.7316  0.2287
Ni  0.7713  0.2684  0.2684

Compound: SiPtBr3
Source: Alexandria via LeMat-Bulk
Functional: GGA-PBE
Structure: relaxed

Results
DFT total energy: -14.30 eV/cell
Raw formation energy: 0.437 eV/atom
Total magnetization: 0.70 μB/cell

Cell: 5.1350 5.1350 5.1350 Å, 90.00 90.00 90.00°
Fractional coordinates of all 5 atoms:
Si  0.0000  0.0000  0.0000
Pt  0.5000  0.5000  0.5000
Br  0.0000  0.5000  0.5000
Br  0.5000  0.0000  0.5000
Br  0.5000  0.5000  0.0000